Record 1
# HgAs2Cl | Alexandria | PBE | relaxed
data_HgAs2Cl
_chemical_formula_sum 'Hg1 As2 Cl1'
_symmetry_space_group_name_H-M 'P 4 m m'
_symmetry_Int_Tables_number 99
_cell_length_a 3.5581
_cell_length_b 3.5581
_cell_length_c 8.9219
_cell_angle_alpha 90.00
_cell_angle_beta 90.00
_cell_angle_gamma 90.00
loop_
_symmetry_equiv_pos_as_xyz
'x,y,z'
'-y,x,z'
'-x,-y,z'
'y,-x,z'
'-x,y,z'
'y,x,z'
'x,-y,z'
'-y,-x,z'
loop_
_atom_site_label
_atom_site_fract_x
_atom_site_fract_y
_atom_site_fract_z
Hg1 0.0000 0.0000 0.0000
As1 0.0000 0.0000 0.2910
As2 0.5000 0.5000 0.3860
Cl1 0.5000 0.5000 0.8438
# - formation energy without anion corrections (eV per atom) = -0.029
# - energy above the most stable polymorph in this dataset (meV per atom) = 122

Record 2
# HgAsCl2 | Alexandria | PBE | relaxed
data_HgAsCl2
_chemical_formula_sum 'Hg2 As2 Cl4'
_symmetry_space_group_name_H-M 'C m m 2'
_symmetry_Int_Tables_number 35
_cell_length_a 3.7224
_cell_length_b 6.5590
_cell_length_c 9.0838
_cell_angle_alpha 90.00
_cell_angle_beta 90.00
_cell_angle_gamma 90.00
loop_
_symmetry_equiv_pos_as_xyz
'x,y,z'
'-x,-y,z'
'-x,y,z'
'x,-y,z'
'x+1/2,y+1/2,z'
'-x+1/2,-y+1/2,z'
'-x+1/2,y+1/2,z'
'x+1/2,-y+1/2,z'
loop_
_atom_site_label
_atom_site_fract_x
_atom_site_fract_y
_atom_site_fract_z
Hg1 0.0000 0.0000 0.0000
As1 0.0000 0.5000 0.2260
Cl1 0.0000 0.0000 0.4171
Cl2 0.0000 0.5000 0.8013
# - formation energy without anion corrections (eV per atom) = -0.107
# - energy above the most stable polymorph in this dataset (meV per atom) = 190

Repeat the second record exactly.
# HgAsCl2 | Alexandria | PBE | relaxed
data_HgAsCl2
_chemical_formula_sum 'Hg2 As2 Cl4'
_symmetry_space_group_name_H-M 'C m m 2'
_symmetry_Int_Tables_number 35
_cell_length_a 3.7224
_cell_length_b 6.5590
_cell_length_c 9.0838
_cell_angle_alpha 90.00
_cell_angle_beta 90.00
_cell_angle_gamma 90.00
loop_
_symmetry_equiv_pos_as_xyz
'x,y,z'
'-x,-y,z'
'-x,y,z'
'x,-y,z'
'x+1/2,y+1/2,z'
'-x+1/2,-y+1/2,z'
'-x+1/2,y+1/2,z'
'x+1/2,-y+1/2,z'
loop_
_atom_site_label
_atom_site_fract_x
_atom_site_fract_y
_atom_site_fract_z
Hg1 0.0000 0.0000 0.0000
As1 0.0000 0.5000 0.2260
Cl1 0.0000 0.0000 0.4171
Cl2 0.0000 0.5000 0.8013
# - formation energy without anion corrections (eV per atom) = -0.107
# - energy above the most stable polymorph in this dataset (meV per atom) = 190

Which formula does entry 1 have? HgAs2Cl